This record from OQMD via LeMat-Bulk describes an optimized crystal structure of Dy2ErIn3AgPd2. The functional is PBE-GGA.

```
Dy2ErIn3AgPd2
1.0
3.7815 0.0000 0.0000
0.0000 6.7765 3.9153
0.0000 -6.7765 3.9153
Dy Er In Ag Pd
2 1 3 1 2
direct
0.0000 0.2045 0.7955
0.0000 0.7955 0.2045
0.0000 0.6136 0.6136
0.5000 0.2051 0.4735
0.5000 0.4735 0.2051
0.5000 0.9354 0.9354
0.0000 0.2049 0.2049
0.5000 0.5384 0.8699
0.5000 0.8699 0.5384
```

Results
Raw total energy, eV per atom: -4.598